# 1
VASP calculation (PBE) on TcB2Mo after structural relaxation.

Lattice parameters (Å, degrees): 3.106 3.063 4.579 90.00 109.76 90.00
Space group Pm (No. 6)
Inequivalent atoms, fractional coordinates:
Tc (0.000, 0.000, 0.000)
B (0.296, 0.000, 0.598)
B (0.417, 0.500, 0.838)
Mo (0.713, 0.500, 0.435)

volume	10.3	Å³ per atom
M_tot	0.00	μB per formula unit
E_tot	-9.0331	eV/atom

# 2
VASP calculation (PBE) on Tc3BMo after structural relaxation.

Lattice parameters (Å, degrees): 4.096 4.096 4.096 90.00 90.00 90.00
Space group Pm-3m (No. 221)
Inequivalent atoms, fractional coordinates:
Tc (0.000, 0.000, 0.500)
B (0.000, 0.000, 0.000)
Mo (0.500, 0.500, 0.500)

volume	13.7	Å³ per atom
M_tot	0.00	μB per formula unit
E_tot	-9.6507	eV/atom

# 3
VASP calculation (PBE) on TcBMo after structural relaxation.

Lattice parameters (Å, degrees): 3.128 14.967 3.057 90.00 90.00 90.00
Space group Cmcm (No. 63)
Inequivalent atoms, fractional coordinates:
Tc (0.000, 0.197, 0.250)
B (0.000, 0.034, 0.250)
Mo (0.000, 0.417, 0.250)

volume	11.9	Å³ per atom
M_tot	0.00	μB per formula unit
E_tot	-9.5497	eV/atom

# 4
VASP calculation (PBE) on Tc3B2Mo after structural relaxation.

Lattice parameters (Å, degrees): 9.576 5.324 5.962 90.00 108.17 90.00
Space group C2/c (No. 15)
Inequivalent atoms, fractional coordinates:
Tc (0.000, 0.245, 0.250)
Tc (0.221, 0.004, 0.610)
B (0.103, 0.499, 0.551)
Mo (0.000, 0.226, 0.750)

volume	12.0	Å³ per atom
M_tot	0.00	μB per formula unit
E_tot	-9.3986	eV/atom

# 5
VASP calculation (PBE) on TcB2Mo after structural relaxation.

Lattice parameters (Å, degrees): 3.1541 3.1541 15.2105 90.00 90.00 120.00
Space group R-3m (No. 166, hexagonal axes)
Inequivalent atoms, fractional coordinates:
Tc (0.0000, 0.0000, 0.0000)
B (0.0000, 0.0000, 0.2516)
Mo (0.0000, 0.0000, 0.5000)

volume	10.9	Å³ per atom
M_tot	0.00	μB per formula unit
E_tot	-8.7520	eV/atom

# 6
VASP calculation (PBE) on Ti2Tc5B2Mo after structural relaxation.

Lattice parameters (Å, degrees): 9.320 9.320 3.093 90.00 90.00 90.00
Space group P4/mbm (No. 127)
Inequivalent atoms, fractional coordinates:
Ti (0.174, 0.326, 0.000)
Tc (0.000, 0.500, 0.500)
Tc (0.071, 0.787, 0.500)
B (0.123, 0.623, 0.000)
Mo (0.000, 0.000, 0.000)

volume	13.4	Å³ per atom
M_tot	0.00	μB per formula unit
E_tot	-9.5127	eV/atom

# 7
VASP calculation (PBE) on TiTcBMo2 after structural relaxation.

Lattice parameters (Å, degrees): 4.654 4.654 4.605 90.00 90.00 90.00
Space group P4/mmm (No. 123)
Inequivalent atoms, fractional coordinates:
Ti (0.000, 0.000, 0.000)
Tc (0.000, 0.000, 0.500)
B (0.500, 0.500, 0.000)
Mo (0.000, 0.500, 0.500)

volume	19.9	Å³ per atom
M_tot	0.00	μB per formula unit
E_tot	-7.3344	eV/atom

# 8
VASP calculation (PBE) on Tc5B2MoW2 after structural relaxation.

Lattice parameters (Å, degrees): 9.368 9.368 3.038 90.00 90.00 90.00
Space group P4/mbm (No. 127)
Inequivalent atoms, fractional coordinates:
Tc (0.000, 0.500, 0.000)
Tc (0.071, 0.215, 0.000)
B (0.123, 0.377, 0.500)
Mo (0.000, 0.000, 0.500)
W (0.177, 0.677, 0.500)

volume	13.3	Å³ per atom
M_tot	0.00	μB per formula unit
E_tot	-10.3365	eV/atom

# 9
VASP calculation (PBE) on YTcBMo2 after structural relaxation.

Lattice parameters (Å, degrees): 4.617 4.617 5.402 90.00 90.00 90.00
Space group P4/mmm (No. 123)
Inequivalent atoms, fractional coordinates:
Y (0.000, 0.000, 0.000)
Tc (0.000, 0.000, 0.500)
B (0.500, 0.500, 0.000)
Mo (0.000, 0.500, 0.500)

volume	23.0	Å³ per atom
M_tot	0.23	μB per formula unit
E_tot	-7.2150	eV/atom

# 10
VASP calculation (PBE) on B4Te2Mo after structural relaxation.

Lattice parameters (Å, degrees): 4.336 4.336 16.202 90.00 90.00 90.00
Space group I4/mmm (No. 139)
Inequivalent atoms, fractional coordinates:
B (0.000, 0.000, 0.125)
B (0.000, 0.500, 0.000)
Te (0.000, 0.000, 0.262)
Mo (0.000, 0.000, 0.000)

volume	21.8	Å³ per atom
M_tot	0.00	μB per formula unit
energy relative to the elements, uncorrected	9.46	eV per formula unit
E_tot	-4.9093	eV/atom

# 11
VASP calculation (PBE) on BTeMo3 after structural relaxation.

Lattice parameters (Å, degrees): 4.276 4.276 4.276 90.00 90.00 90.00
Space group Pm-3m (No. 221)
Inequivalent atoms, fractional coordinates:
B (0.000, 0.000, 0.000)
Te (0.500, 0.500, 0.500)
Mo (0.000, 0.000, 0.500)

volume	15.6	Å³ per atom
M_tot	0.00	μB per formula unit
energy relative to the elements, uncorrected	2.17	eV per formula unit
E_tot	-8.0290	eV/atom

# 12
VASP calculation (PBE) on B3TeMo after structural relaxation.

Lattice parameters (Å, degrees): 4.290 4.290 4.290 90.00 90.00 90.00
Space group Pm-3m (No. 221)
Inequivalent atoms, fractional coordinates:
B (0.000, 0.000, 0.500)
Te (0.000, 0.000, 0.000)
Mo (0.500, 0.500, 0.500)

volume	15.8	Å³ per atom
M_tot	0.00	μB per formula unit
energy relative to the elements, uncorrected	13.42	eV per formula unit
E_tot	-4.1165	eV/atom